(1)
Entry from Alexandria via LeMat-Bulk: an optimized crystal structure of Cs2SrVS4 (PBE).

Calculated values
electronic total energy	-76.8	eV for the cell shown
Fermi-level density of states	8.44	states/eV per cell

a = 15.0610 Å, b = 13.6627 Å, c = 7.9184 Å
α = 84.02°, β = 64.45°, γ = 31.53°
Atoms (fractional coordinates):
Cs1 0.0581 0.0581 0.6919
Cs2 0.3081 0.3081 0.9419
Cs3 0.6919 0.6919 0.0581
Cs4 0.9419 0.9419 0.3081
Sr1 0.1250 0.1250 0.1250
Sr2 0.8750 0.8750 0.8750
V1 0.3750 0.3750 0.3750
V2 0.6250 0.6250 0.6250
S1 0.0476 0.6061 0.5136
S2 0.3326 0.5136 0.6061
S3 0.3939 0.9524 0.6674
S4 0.4864 0.6674 0.9524
S5 0.5136 0.3326 0.0476
S6 0.6061 0.0476 0.3326
S7 0.6674 0.4864 0.3939
S8 0.9524 0.3939 0.4864


(2)
Entry from Alexandria via LeMat-Bulk: an optimized crystal structure of GdAl3C3 (PBE).

Calculated values
Fermi-level density of states	1.15	states/eV per cell
formation energy from the elements	-0.263	eV/atom

a = 3.4470 Å, b = 3.4470 Å, c = 17.4337 Å
α = 90.00°, β = 90.00°, γ = 120.00°
Atoms (fractional coordinates):
Gd1 0.0000 0.0000 0.0000
Gd2 0.0000 0.0000 0.5000
Al1 0.3333 0.6667 0.1344
Al2 0.3333 0.6667 0.3656
Al3 0.3333 0.6667 0.7500
Al4 0.6667 0.3333 0.2500
Al5 0.6667 0.3333 0.6344
Al6 0.6667 0.3333 0.8656
C1 0.3333 0.6667 0.2500
C2 0.3333 0.6667 0.5945
C3 0.3333 0.6667 0.9055
C4 0.6667 0.3333 0.0945
C5 0.6667 0.3333 0.4055
C6 0.6667 0.3333 0.7500


(3)
Entry from Alexandria via LeMat-Bulk: an optimized crystal structure of BeHg4P (PBE).

Calculated values
Fermi-level density of states	3.38	states/eV per cell
formation energy from the elements	0.901	eV/atom

a = 5.8453 Å, b = 5.8453 Å, c = 5.8453 Å
α = 60.00°, β = 60.00°, γ = 60.00°
Atoms (fractional coordinates):
Be1 0.0000 0.0000 0.0000
Hg1 0.1255 0.6248 0.6248
Hg2 0.6248 0.1255 0.6248
Hg3 0.6248 0.6248 0.1255
Hg4 0.6248 0.6248 0.6248
P1 0.2500 0.2500 0.2500


(4)
Entry from Alexandria via LeMat-Bulk: an optimized crystal structure of PmErNpO6 (PBE).

Calculated values
electronic total energy	-161.8	eV for the cell shown

a = 5.7396 Å, b = 5.7396 Å, c = 9.7123 Å
α = 90.00°, β = 90.00°, γ = 120.00°
Atoms (fractional coordinates):
Pm1 0.0000 0.0000 0.0000
Pm2 0.0000 0.0000 0.5000
Er1 0.3333 0.6667 0.2500
Er2 0.6667 0.3333 0.7500
Np1 0.3333 0.6667 0.7500
Np2 0.6667 0.3333 0.2500
O1 0.0225 0.3620 0.6366
O2 0.0225 0.6605 0.8634
O3 0.3395 0.3620 0.8634
O4 0.3395 0.9775 0.6366
O5 0.3620 0.0225 0.1366
O6 0.3620 0.3395 0.3634
O7 0.6380 0.6605 0.6366
O8 0.6380 0.9775 0.8634
O9 0.6605 0.0225 0.3634
O10 0.6605 0.6380 0.1366
O11 0.9775 0.3395 0.1366
O12 0.9775 0.6380 0.3634


(5)
Entry from Alexandria via LeMat-Bulk: an optimized crystal structure of BeAsCl (PBE).

Calculated values
polymorph energy (0 for the lowest one)	450	meV per atom
Fermi-level density of states	1.11	states/eV per cell

a = 3.8249 Å, b = 3.8249 Å, c = 4.6696 Å
α = 90.00°, β = 90.00°, γ = 120.00°
Atoms (fractional coordinates):
Be1 0.0000 0.0000 0.0000
As1 0.6667 0.3333 0.0000
Cl1 0.3333 0.6667 0.5000


(6)
Entry from Alexandria via LeMat-Bulk: an optimized crystal structure of HgIrRu2 (PBE).

Calculated values
Fermi-level density of states	4.60	states/eV per cell
formation energy from the elements	0.581	eV/atom

a = 5.6605 Å, b = 5.6605 Å, c = 5.6605 Å
α = 151.38°, β = 131.12°, γ = 57.63°
Atoms (fractional coordinates):
Hg1 0.0000 0.0000 0.0000
Ir1 0.5000 0.5000 0.0000
Ru1 0.2756 0.7756 0.5000
Ru2 0.7244 0.2244 0.5000


(7)
Entry from Alexandria via LeMat-Bulk: an optimized crystal structure of CaHg6Bi2 (PBE).

Calculated values
Fermi-level density of states	5.32	states/eV per cell
formation energy from the elements	-0.129	eV/atom

a = 4.8146 Å, b = 10.1879 Å, c = 11.0748 Å
α = 90.00°, β = 115.70°, γ = 90.00°
Atoms (fractional coordinates):
Ca1 0.0000 0.0000 0.0000
Ca2 0.0000 0.5000 0.5000
Hg1 0.0375 0.1732 0.5371
Hg2 0.0375 0.3268 0.0371
Hg3 0.3450 0.5042 0.8446
Hg4 0.3450 0.9958 0.3446
Hg5 0.3669 0.1606 0.8665
Hg6 0.3669 0.3394 0.3665
Hg7 0.6331 0.6606 0.6335
Hg8 0.6331 0.8394 0.1335
Hg9 0.6550 0.0042 0.6554
Hg10 0.6550 0.4958 0.1554
Hg11 0.9625 0.6732 0.9629
Hg12 0.9625 0.8268 0.4629
Bi1 0.2866 0.6674 0.2877
Bi2 0.2866 0.8326 0.7877
Bi3 0.7134 0.1674 0.2123
Bi4 0.7134 0.3326 0.7123


(8)
Entry from Alexandria via LeMat-Bulk: an optimized crystal structure of VCoNi5 (PBE).

Calculated values
Fermi-level density of states	5.80	states/eV per cell
formation energy from the elements	0.061	eV/atom

a = 3.5387 Å, b = 3.5387 Å, c = 6.6857 Å
α = 90.00°, β = 90.00°, γ = 90.00°
Atoms (fractional coordinates):
V1 0.0000 0.0000 0.0000
Co1 0.5000 0.5000 0.5000
Ni1 0.0000 0.5000 0.2646
Ni2 0.0000 0.5000 0.7354
Ni3 0.5000 0.0000 0.2646
Ni4 0.5000 0.0000 0.7354
Ni5 0.5000 0.5000 0.0000


(9)
Entry from Alexandria via LeMat-Bulk: an optimized crystal structure of DyEr2Pd4 (PBE).

Calculated values
Fermi-level density of states	4.47	states/eV per cell
formation energy from the elements	-0.615	eV/atom

a = 5.8750 Å, b = 5.8750 Å, c = 5.8750 Å
α = 107.75°, β = 107.75°, γ = 112.98°
Atoms (fractional coordinates):
Dy1 0.0000 0.0000 0.0000
Er1 0.0000 0.5000 0.5000
Er2 0.5000 0.0000 0.5000
Pd1 0.0000 0.0000 0.5000
Pd2 0.0000 0.5000 0.0000
Pd3 0.5000 0.0000 0.0000
Pd4 0.5000 0.5000 0.5000


(10)
Entry from Alexandria via LeMat-Bulk: an optimized crystal structure of Na4LiSn3Se8 (PBE).

Calculated values
electronic total energy	-59.1	eV for the cell shown
Fermi-level density of states	2.28	states/eV per cell

a = 8.4390 Å, b = 8.4390 Å, c = 8.4390 Å
α = 56.57°, β = 56.57°, γ = 56.57°
Atoms (fractional coordinates):
Na1 0.0000 0.0000 0.0000
Na2 0.0000 0.5000 0.5000
Na3 0.5000 0.0000 0.5000
Na4 0.5000 0.5000 0.0000
Li1 0.5000 0.5000 0.5000
Sn1 0.0000 0.0000 0.5000
Sn2 0.0000 0.5000 0.0000
Sn3 0.5000 0.0000 0.0000
Se1 0.2388 0.7394 0.7394
Se2 0.2436 0.2436 0.2436
Se3 0.2606 0.2606 0.7612
Se4 0.2606 0.7612 0.2606
Se5 0.7394 0.2388 0.7394
Se6 0.7394 0.7394 0.2388
Se7 0.7564 0.7564 0.7564
Se8 0.7612 0.2606 0.2606


(11)
Entry from Alexandria via LeMat-Bulk: an optimized crystal structure of Pu2Co3Os (PBE).

Calculated values
Fermi-level density of states	15.47	states/eV per cell
formation energy from the elements	-0.139	eV/atom

a = 5.1365 Å, b = 5.1365 Å, c = 5.1365 Å
α = 58.93°, β = 58.93°, γ = 58.93°
Atoms (fractional coordinates):
Pu1 0.1244 0.1244 0.1244
Pu2 0.8756 0.8756 0.8756
Co1 0.0000 0.5000 0.5000
Co2 0.5000 0.0000 0.5000
Co3 0.5000 0.5000 0.0000
Os1 0.5000 0.5000 0.5000


(12)
Entry from Alexandria via LeMat-Bulk: an optimized crystal structure of Rb2CaBr (PBE).

Calculated values
polymorph energy (0 for the lowest one)	352	meV per atom
Fermi-level density of states	3.49	states/eV per cell

a = 6.8453 Å, b = 6.8453 Å, c = 6.8453 Å
α = 60.00°, β = 60.00°, γ = 60.00°
Atoms (fractional coordinates):
Rb1 0.2500 0.2500 0.2500
Rb2 0.7500 0.7500 0.7500
Ca1 0.0000 0.0000 0.0000
Br1 0.5000 0.5000 0.5000